Computed, not measured: a geometry-optimized Tb2SmMgN structure at the PBE-GGA level of DFT.

```
data_Tb2SmMgN
_chemical_formula_sum 'Tb2 Sm1 Mg1 N1'
_space_group_name_H-M_alt 'P 4/m m m'
_space_group_IT_number 123
_space_group_name_Hall '-P 4 2'
_cell_length_a 4.888
_cell_length_b 4.888
_cell_length_c 5.030
_cell_angle_alpha 90.00
_cell_angle_beta 90.00
_cell_angle_gamma 90.00
loop_
_atom_site_label
_atom_site_fract_x
_atom_site_fract_y
_atom_site_fract_z
Tb1 0.000 0.500 0.000
Sm1 0.000 0.000 0.500
Mg1 0.500 0.500 0.500
N1 0.000 0.000 0.000
```

Output
* final energy: -27.3 eV per cell
* magnetic moment: 0.00 μB/cell
* formation energy without anion corrections: -674.7 meV per atom

---

Computed, not measured: a geometry-optimized Sm2MgUN4 structure at the PBE-GGA level of DFT.

```
data_Sm2MgUN4
_chemical_formula_sum 'Sm2 Mg1 U1 N4'
_space_group_name_H-M_alt 'P 1 2/m 1'
_space_group_IT_number 10
_cell_length_a 5.781
_cell_length_b 3.511
_cell_length_c 6.000
_cell_angle_alpha 90.00
_cell_angle_beta 108.04
_cell_angle_gamma 90.00
loop_
_space_group_symop_operation_xyz
'x,y,z'
'-x,-y,-z'
'-x,y,-z'
'x,-y,z'
loop_
_atom_site_label
_atom_site_fract_x
_atom_site_fract_y
_atom_site_fract_z
Sm1 0.000 0.000 0.000
Sm2 0.500 0.500 0.000
Mg1 0.000 0.500 0.500
U1 0.500 0.000 0.500
N1 0.264 0.500 0.279
N2 0.266 0.000 0.724
```

Output
* final energy: -65.8 eV per cell
* magnetic moment: 0.69 μB/cell
* formation energy without anion corrections: -1275.3 meV per atom

---

Computed, not measured: a geometry-optimized Sm3Mg2UN6 structure at the PBE-GGA level of DFT.

```
data_Sm3Mg2UN6
_chemical_formula_sum 'Sm6 Mg4 U2 N12'
_space_group_name_H-M_alt 'C 1 2/m 1'
_space_group_IT_number 12
_cell_length_a 5.908
_cell_length_b 10.269
_cell_length_c 5.978
_cell_angle_alpha 90.00
_cell_angle_beta 108.74
_cell_angle_gamma 90.00
loop_
_space_group_symop_operation_xyz
'x,y,z'
'-x,-y,-z'
'-x,y,-z'
'x,-y,z'
'x+1/2,y+1/2,z'
'-x+1/2,-y+1/2,-z'
'-x+1/2,y+1/2,-z'
'x+1/2,-y+1/2,z'
loop_
_atom_site_label
_atom_site_fract_x
_atom_site_fract_y
_atom_site_fract_z
Sm1 0.000 0.000 0.000
Sm2 0.000 0.328 0.000
Mg1 0.000 0.166 0.500
U1 0.000 0.500 0.500
N1 0.232 0.500 0.270
N2 0.234 0.344 0.731
```

Output
* final energy: -186.7 eV per cell
* magnetic moment: 0.01 μB/cell
* formation energy without anion corrections: -1231.5 meV per atom

---

Computed, not measured: a geometry-optimized SmMg2VN4 structure at the PBE-GGA level of DFT.

```
data_SmMg2VN4
_chemical_formula_sum 'Sm2 Mg4 V2 N8'
_space_group_name_H-M_alt 'P m n 21'
_space_group_IT_number 31
_cell_length_a 7.022
_cell_length_b 5.953
_cell_length_c 5.320
_cell_angle_alpha 90.00
_cell_angle_beta 90.00
_cell_angle_gamma 90.00
loop_
_space_group_symop_operation_xyz
'x,y,z'
'-x+1/2,-y,z+1/2'
'-x,y,z'
'x+1/2,-y,z+1/2'
loop_
_atom_site_label
_atom_site_fract_x
_atom_site_fract_y
_atom_site_fract_z
Sm1 0.000 0.148 0.000
Mg1 0.246 0.338 0.514
V1 0.000 0.811 0.523
N1 0.000 0.121 0.463
N2 0.000 0.784 0.862
N3 0.214 0.673 0.406
```

Output
* final energy: -118.0 eV per cell
* magnetic moment: 0.00 μB/cell
* formation energy without anion corrections: -1086.5 meV per atom

---

Computed, not measured: a geometry-optimized Mg2Sn2N3 structure at the PBE-GGA level of DFT.

```
data_Mg2Sn2N3
_chemical_formula_sum 'Mg4 Sn4 N6'
_space_group_name_H-M_alt 'C 1 2/m 1'
_space_group_IT_number 12
_cell_length_a 11.276
_cell_length_b 3.436
_cell_length_c 5.433
_cell_angle_alpha 90.00
_cell_angle_beta 109.91
_cell_angle_gamma 90.00
loop_
_space_group_symop_operation_xyz
'x,y,z'
'-x,-y,-z'
'-x,y,-z'
'x,-y,z'
'x+1/2,y+1/2,z'
'-x+1/2,-y+1/2,-z'
'-x+1/2,y+1/2,-z'
'x+1/2,-y+1/2,z'
loop_
_atom_site_label
_atom_site_fract_x
_atom_site_fract_y
_atom_site_fract_z
Mg1 0.154 0.000 0.341
Sn1 0.110 0.500 0.839
N1 0.000 0.000 0.000
N2 0.249 0.000 0.755
```

Output
* final energy: -73.8 eV per cell
* magnetic moment: 0.00 μB/cell
* formation energy without anion corrections: -104.2 meV per atom

---

Computed, not measured: a geometry-optimized MgSnN2 structure at the PBE-GGA level of DFT.

```
data_MgSnN2
_chemical_formula_sum 'Mg3 Sn3 N6'
_space_group_name_H-M_alt 'R 3 m'
_space_group_IT_number 160
_space_group_name_Hall 'R 3 -2"'
_cell_length_a 3.1765
_cell_length_b 3.1765
_cell_length_c 16.4439
_cell_angle_alpha 90.00
_cell_angle_beta 90.00
_cell_angle_gamma 120.00
loop_
_atom_site_label
_atom_site_fract_x
_atom_site_fract_y
_atom_site_fract_z
Mg1 0.0000 0.0000 0.0000
Sn1 0.0000 0.0000 0.8281
N1 0.0000 0.0000 0.2385
N2 0.0000 0.0000 0.4160
```

Output
* final energy: -67.9 eV per cell
* magnetic moment: 0.00 μB/cell
* formation energy without anion corrections: -97.7 meV per atom